(1)
Computed, not measured: a relaxed CsAgTe3Pt crystal at the PBE level of DFT.

Cell and atoms, written as POSCAR:
```
CsAgTe3Pt
1.0
9.109 0.000 0.000
0.000 4.264 0.000
-3.797 0.000 10.180
Cs Ag Te Pt
2 2 6 2
direct
0.241 0.250 0.296 Cs
0.759 0.750 0.704 Cs
0.056 0.250 0.590 Ag
0.944 0.750 0.410 Ag
0.146 0.250 0.870 Te
0.268 0.750 0.593 Te
0.470 0.750 0.122 Te
0.530 0.250 0.878 Te
0.732 0.250 0.407 Te
0.854 0.750 0.130 Te
0.338 0.750 0.861 Pt
0.662 0.250 0.139 Pt
```

Computed properties:
Energy relative to the lowest polymorph listed for this composition (meV/atom): 0
SG: P2_1/m (11)
Total magnetization (μB/f.u.): 0.0

=====

(2)
Computed, not measured: a relaxed SmDyY crystal at the PBE level of DFT.

Cell and atoms, written as POSCAR:
```
SmDyY
1.0
0.000 3.861 3.861
3.861 0.000 3.861
3.861 3.861 0.000
Sm Dy Y
1 1 1
direct
0.000 0.000 0.000 Sm
0.250 0.250 0.250 Dy
0.500 0.500 0.500 Y
```

Computed properties:
E_form (eV per atom): 0.719
Energy relative to the lowest polymorph listed for this composition (meV/atom): 0
SG: F-43m (216)
Total magnetization (μB/f.u.): 0.1

=====

(3)
Computed, not measured: a relaxed DyYTlFe2 crystal at the PBE level of DFT.

Cell and atoms, written as POSCAR:
```
DyYTlFe2
1.0
3.955 0.000 0.000
0.000 1.895 6.927
0.000 -1.895 6.927
Dy Y Tl Fe
1 1 1 2
direct
0.000 0.000 0.000 Dy
0.000 0.722 0.722 Y
0.500 0.361 0.361 Tl
0.500 0.150 0.150 Fe
0.500 0.570 0.570 Fe
```

Computed properties:
VASP energy (eV per cell): -30.81
SG: Amm2 (38)
Total magnetization (μB/f.u.): 1.5

=====

(4)
Computed, not measured: a relaxed Ga3Ir crystal at the PBE level of DFT.

Cell and atoms, written as POSCAR:
```
Ga3Ir
1.0
6.560 0.000 0.000
0.000 6.560 0.000
0.000 0.000 6.726
Ga Ir
12 4
direct
0.000 0.500 0.000 Ga
0.000 0.500 0.500 Ga
0.143 0.143 0.250 Ga
0.143 0.143 0.750 Ga
0.357 0.643 0.250 Ga
0.357 0.643 0.750 Ga
0.500 0.000 0.000 Ga
0.500 0.000 0.500 Ga
0.643 0.357 0.250 Ga
0.643 0.357 0.750 Ga
0.857 0.857 0.250 Ga
0.857 0.857 0.750 Ga
0.161 0.839 0.000 Ir
0.339 0.339 0.500 Ir
0.661 0.661 0.500 Ir
0.839 0.161 0.000 Ir
```

Computed properties:
VASP energy (eV per cell): -77.38
SG: P4_2/mnm (136)
Total magnetization (μB/f.u.): 0.0

=====

(5)
Computed, not measured: a relaxed SmHfNb crystal at the PBE level of DFT.

Cell and atoms, written as POSCAR:
```
SmHfNb
1.0
0.000 3.410 3.410
3.410 0.000 3.410
3.410 3.410 0.000
Sm Hf Nb
1 1 1
direct
0.000 0.000 0.000 Sm
0.500 0.500 0.500 Hf
0.750 0.750 0.750 Nb
```

Computed properties:
E_form (eV per atom): 0.810
Energy relative to the lowest polymorph listed for this composition (meV/atom): 0
SG: F-43m (216)
Total magnetization (μB/f.u.): 0.0

=====

(6)
Computed, not measured: a relaxed Er2Sn2Pd3Pt crystal at the PBE level of DFT.

Cell and atoms, written as POSCAR:
```
Er2Sn2Pd3Pt
1.0
4.562 0.000 0.000
-2.281 3.951 0.000
0.000 0.000 8.953
Er Sn Pd Pt
2 2 3 1
direct
0.000 0.000 0.000 Er
0.333 0.667 0.496 Er
0.667 0.333 0.251 Sn
0.667 0.333 0.751 Sn
0.000 0.000 0.664 Pd
0.333 0.667 0.160 Pd
0.333 0.667 0.835 Pd
0.000 0.000 0.337 Pt
```

Computed properties:
VASP energy (eV per cell): -46.17
SG: P3m1 (156)
Total magnetization (μB/f.u.): 0.0

=====

(7)
Computed, not measured: a relaxed Nd3S3N crystal at the PBE level of DFT.

Cell and atoms, written as POSCAR:
```
Nd3S3N
1.0
12.225 0.000 0.000
0.000 4.034 0.000
0.000 0.000 13.113
Nd S N
12 12 4
direct
0.040 0.250 0.149 Nd
0.084 0.250 0.628 Nd
0.223 0.250 0.867 Nd
0.277 0.750 0.367 Nd
0.416 0.750 0.128 Nd
0.460 0.750 0.649 Nd
0.540 0.250 0.351 Nd
0.584 0.250 0.872 Nd
0.723 0.250 0.633 Nd
0.777 0.750 0.133 Nd
0.916 0.750 0.372 Nd
0.960 0.750 0.851 Nd
0.081 0.250 0.393 S
0.140 0.750 0.997 S
0.231 0.750 0.698 S
0.269 0.250 0.198 S
0.360 0.250 0.497 S
0.419 0.750 0.893 S
0.581 0.250 0.107 S
0.640 0.750 0.503 S
0.731 0.750 0.802 S
0.769 0.250 0.302 S
0.860 0.250 0.003 S
0.919 0.750 0.607 S
0.047 0.250 0.798 N
0.453 0.750 0.298 N
0.547 0.250 0.702 N
0.953 0.750 0.202 N
```

Computed properties:
VASP energy (eV per cell): -193.62
SG: Pnma (62)
Total magnetization (μB/f.u.): 0.0

=====

(8)
Computed, not measured: a relaxed Pm2Tl crystal at the PBE level of DFT.

Cell and atoms, written as POSCAR:
```
Pm2Tl
1.0
0.000 4.533 4.533
4.533 0.000 4.533
4.533 4.533 0.000
Pm Tl
4 2
direct
0.000 0.000 0.000 Pm
0.000 0.000 0.500 Pm
0.000 0.500 0.000 Pm
0.500 0.000 0.000 Pm
0.375 0.375 0.375 Tl
0.625 0.625 0.625 Tl
```

Computed properties:
Energy relative to the lowest polymorph listed for this composition (meV/atom): 441
SG: Fd-3m (227)
Total magnetization (μB/f.u.): 0.0

=====

(9)
Computed, not measured: a relaxed ScCuSbAu crystal at the PBE level of DFT.

Cell and atoms, written as POSCAR:
```
ScCuSbAu
1.0
0.000 3.378 3.378
3.378 0.000 3.378
3.378 3.378 0.000
Sc Cu Sb Au
1 1 1 1
direct
0.000 0.000 0.000 Sc
0.750 0.750 0.750 Cu
0.500 0.500 0.500 Sb
0.250 0.250 0.250 Au
```

Computed properties:
Energy relative to the lowest polymorph listed for this composition (meV/atom): 47
SG: F-43m (216)
Total magnetization (μB/f.u.): 0.0

=====

(10)
Computed, not measured: a relaxed LaDyAu6 crystal at the PBE level of DFT.

Cell and atoms, written as POSCAR:
```
LaDyAu6
1.0
5.077 0.000 0.000
0.000 6.356 0.000
0.000 0.000 5.190
La Dy Au
1 1 6
direct
0.000 0.000 0.000 La
0.500 0.500 0.684 Dy
0.000 0.270 0.504 Au
0.000 0.500 0.005 Au
0.000 0.730 0.504 Au
0.500 0.000 0.652 Au
0.500 0.256 0.179 Au
0.500 0.744 0.179 Au
```

Computed properties:
E_form (eV per atom): -0.700
SG: Pmm2 (25)
Total magnetization (μB/f.u.): 0.0

=====

(11)
Computed, not measured: a relaxed Sc2Ta4Zn3N3 crystal at the PBE level of DFT.

Cell and atoms, written as POSCAR:
```
Sc2Ta4Zn3N3
1.0
4.681 -2.705 0.000
4.681 2.705 0.000
-3.160 0.000 13.705
Sc Ta Zn N
4 8 6 6
direct
0.035 0.874 0.605 Sc
0.126 0.965 0.895 Sc
0.874 0.035 0.105 Sc
0.965 0.126 0.395 Sc
0.194 0.357 0.083 Ta
0.301 0.477 0.417 Ta
0.357 0.194 0.583 Ta
0.477 0.301 0.917 Ta
0.523 0.699 0.083 Ta
0.643 0.806 0.417 Ta
0.699 0.523 0.583 Ta
0.806 0.643 0.917 Ta
0.084 0.384 0.751 Zn
0.384 0.084 0.251 Zn
0.449 0.551 0.250 Zn
0.551 0.449 0.750 Zn
0.616 0.916 0.749 Zn
0.916 0.616 0.249 Zn
0.000 0.500 0.500 N
0.161 0.677 0.000 N
0.323 0.839 0.500 N
0.500 0.000 0.000 N
0.677 0.161 0.500 N
0.839 0.323 0.000 N
```

Computed properties:
VASP energy (eV per cell): -196.67
SG: C2/c (15)
Total magnetization (μB/f.u.): 0.0

=====

(12)
Computed, not measured: a relaxed CoCuICl3 crystal at the PBE level of DFT.

Cell and atoms, written as POSCAR:
```
CoCuICl3
1.0
5.743 0.000 0.000
0.018 5.888 0.000
2.851 2.616 5.183
Co Cu I Cl
1 1 1 3
direct
0.000 0.000 0.000 Co
0.736 0.220 0.523 Cu
0.620 0.619 0.258 I
0.079 0.104 0.258 Cl
0.360 0.906 0.758 Cl
0.873 0.313 0.767 Cl
```

Computed properties:
VASP energy (eV per cell): -20.55
SG: P1 (1)
Total magnetization (μB/f.u.): 4.0

=====

(13)
Computed, not measured: a relaxed PaTaGe crystal at the PBE level of DFT.

Cell and atoms, written as POSCAR:
```
PaTaGe
1.0
0.000 3.327 3.327
3.327 0.000 3.327
3.327 3.327 0.000
Pa Ta Ge
1 1 1
direct
0.000 0.000 0.000 Pa
0.250 0.250 0.250 Ta
0.750 0.750 0.750 Ge
```

Computed properties:
Energy relative to the lowest polymorph listed for this composition (meV/atom): 659
SG: F-43m (216)
Total magnetization (μB/f.u.): 0.1

=====

(14)
Computed, not measured: a relaxed K2InFeBr6 crystal at the PBE level of DFT.

Cell and atoms, written as POSCAR:
```
K2InFeBr6
1.0
0.000 5.467 5.467
5.467 0.000 5.467
5.467 5.467 0.000
K In Fe Br
2 1 1 6
direct
0.250 0.250 0.250 K
0.750 0.750 0.750 K
0.000 0.000 0.000 In
0.500 0.500 0.500 Fe
0.263 0.263 0.737 Br
0.263 0.737 0.263 Br
0.263 0.737 0.737 Br
0.737 0.263 0.263 Br
0.737 0.263 0.737 Br
0.737 0.737 0.263 Br
```

Computed properties:
VASP energy (eV per cell): -33.23
SG: Fm-3m (225)
Total magnetization (μB/f.u.): 3.6

=====

(15)
Computed, not measured: a relaxed PmSbO4 crystal at the PBE level of DFT.

Cell and atoms, written as POSCAR:
```
PmSbO4
1.0
-2.659 2.659 5.678
2.659 -2.659 5.678
2.659 2.659 -5.678
Pm Sb O
2 2 8
direct
0.375 0.125 0.250 Pm
0.625 0.875 0.750 Pm
0.125 0.375 0.750 Sb
0.875 0.625 0.250 Sb
0.037 0.214 0.324 O
0.214 0.537 0.323 O
0.286 0.110 0.823 O
0.390 0.714 0.176 O
0.610 0.286 0.824 O
0.714 0.890 0.177 O
0.786 0.463 0.677 O
0.963 0.786 0.676 O
```

Computed properties:
VASP energy (eV per cell): -85.04
SG: I4_1/a (88)
Total magnetization (μB/f.u.): 0.0

=====

(16)
Computed, not measured: a relaxed AcErSi crystal at the PBE level of DFT.

Cell and atoms, written as POSCAR:
```
AcErSi
1.0
0.000 3.708 3.708
3.708 0.000 3.708
3.708 3.708 0.000
Ac Er Si
1 1 1
direct
0.000 0.000 0.000 Ac
0.750 0.750 0.750 Er
0.250 0.250 0.250 Si
```

Computed properties:
Energy relative to the lowest polymorph listed for this composition (meV/atom): 952
SG: F-43m (216)
Total magnetization (μB/f.u.): 0.1

=====

(17)
Computed, not measured: a relaxed Ba3SrIr2O9 crystal at the PBE level of DFT.

Cell and atoms, written as POSCAR:
```
Ba3SrIr2O9
1.0
3.004 -5.153 0.000
3.004 5.153 0.000
-0.740 0.000 14.976
Ba Sr Ir O
6 2 4 18
direct
0.010 0.990 0.750 Ba
0.324 0.657 0.408 Ba
0.343 0.676 0.092 Ba
0.657 0.324 0.908 Ba
0.676 0.343 0.592 Ba
0.990 0.010 0.250 Ba
0.000 0.000 0.000 Sr
0.000 0.000 0.500 Sr
0.312 0.640 0.834 Ir
0.360 0.688 0.666 Ir
0.640 0.312 0.334 Ir
0.688 0.360 0.166 Ir
0.029 0.506 0.734 O
0.132 0.774 0.904 O
0.133 0.316 0.893 O
0.226 0.868 0.596 O
0.231 0.416 0.574 O
0.316 0.133 0.393 O
0.416 0.231 0.074 O
0.493 0.507 0.750 O
0.494 0.971 0.766 O
0.506 0.029 0.234 O
0.507 0.493 0.250 O
0.584 0.769 0.926 O
0.684 0.867 0.607 O
0.769 0.584 0.426 O
0.774 0.132 0.404 O
0.867 0.684 0.107 O
0.868 0.226 0.096 O
0.971 0.494 0.266 O
```

Computed properties:
VASP energy (eV per cell): -196.46
SG: C2/c (15)
Total magnetization (μB/f.u.): 1.9

=====

(18)
Computed, not measured: a relaxed CuHgB crystal at the PBE level of DFT.

Cell and atoms, written as POSCAR:
```
CuHgB
1.0
0.000 2.762 2.762
2.762 0.000 2.762
2.762 2.762 0.000
Cu Hg B
1 1 1
direct
0.000 0.000 0.000 Cu
0.500 0.500 0.500 Hg
0.250 0.250 0.250 B
```

Computed properties:
Energy relative to the lowest polymorph listed for this composition (meV/atom): 0
SG: F-43m (216)

=====

(19)
Computed, not measured: a relaxed HfScAu crystal at the PBE level of DFT.

Cell and atoms, written as POSCAR:
```
HfScAu
1.0
0.000 3.265 3.265
3.265 0.000 3.265
3.265 3.265 0.000
Hf Sc Au
1 1 1
direct
0.000 0.000 0.000 Hf
0.500 0.500 0.500 Sc
0.250 0.250 0.250 Au
```

Computed properties:
E_form (eV per atom): -0.165
Energy relative to the lowest polymorph listed for this composition (meV/atom): 0
SG: F-43m (216)
Total magnetization (μB/f.u.): 0.0

=====

(20)
Computed, not measured: a relaxed KPAu2O4 crystal at the PBE level of DFT.

Cell and atoms, written as POSCAR:
```
KPAu2O4
1.0
0.000 6.431 3.271
6.401 0.000 3.271
6.401 6.431 0.000
K P Au O
2 2 4 8
direct
0.000 0.000 0.000 K
0.250 0.250 0.250 K
0.500 0.500 0.500 P
0.750 0.750 0.750 P
0.124 0.625 0.816 Au
0.434 0.815 0.126 Au
0.625 0.124 0.435 Au
0.815 0.434 0.625 Au
0.338 0.389 0.777 O
0.389 0.338 0.497 O
0.473 0.753 0.912 O
0.497 0.777 0.338 O
0.753 0.473 0.861 O
0.777 0.497 0.388 O
0.862 0.912 0.473 O
0.912 0.862 0.753 O
```

Computed properties:
VASP energy (eV per cell): -85.04
SG: Fdd2 (43)